[1]
{"formula": "V3MoH", "functional": "PBE", "state": "relaxed", "cell": [[4.578, 0.000, 0.000], [0.000, 4.578, 0.000], [0.000, 0.000, 4.578]], "species": ["V", "V", "V", "Mo", "H"], "frac_coords": [[0.000, 0.000, 0.500], [0.000, 0.500, 0.000], [0.500, 0.000, 0.000], [0.000, 0.000, 0.000], [0.500, 0.500, 0.500]], "sg": "Pm-3m", "e_tot_ev_per_cell": -31.81, "m_tot_mub_per_fu": 0.9}

***

[2]
{"formula": "HfZr4Al", "functional": "PBE", "state": "relaxed", "cell": [[4.469, -6.184, 0.000], [4.469, 6.184, 0.000], [-3.238, 0.000, 4.803]], "species": ["Hf", "Hf", "Zr", "Zr", "Zr", "Zr", "Zr", "Zr", "Zr", "Zr", "Al", "Al"], "frac_coords": [[0.124, 0.876, 0.750], [0.876, 0.124, 0.250], [0.151, 0.544, 0.313], [0.263, 0.369, 0.742], [0.369, 0.263, 0.242], [0.456, 0.849, 0.187], [0.544, 0.151, 0.813], [0.631, 0.737, 0.758], [0.737, 0.631, 0.258], [0.849, 0.456, 0.687], [0.107, 0.893, 0.250], [0.893, 0.107, 0.750]], "sg": "C2/c", "formation_enthalpy_0k_ev_per_atom": -0.082, "m_tot_mub_per_fu": 0.0}

***

[3]
{"formula": "Ce2YF11", "functional": "PBE", "state": "relaxed", "cell": [[-4.195, 5.204, 5.495], [4.195, -5.204, 5.495], [4.195, 5.204, -5.495]], "species": ["Ce", "Ce", "Ce", "Ce", "Y", "Y", "F", "F", "F", "F", "F", "F", "F", "F", "F", "F", "F", "F", "F", "F", "F", "F", "F", "F", "F", "F", "F", "F"], "frac_coords": [[0.183, 0.148, 0.331], [0.317, 0.648, 0.966], [0.683, 0.352, 0.034], [0.817, 0.852, 0.669], [0.250, 0.750, 0.500], [0.750, 0.250, 0.500], [0.000, 0.000, 0.000], [0.032, 0.452, 0.767], [0.064, 0.853, 0.643], [0.185, 0.952, 0.420], [0.210, 0.421, 0.357], [0.213, 0.874, 0.087], [0.287, 0.374, 0.661], [0.290, 0.647, 0.211], [0.315, 0.735, 0.767], [0.436, 0.079, 0.789], [0.468, 0.235, 0.420], [0.500, 0.500, 0.000], [0.532, 0.765, 0.580], [0.564, 0.921, 0.211], [0.685, 0.265, 0.233], [0.710, 0.353, 0.789], [0.713, 0.626, 0.339], [0.787, 0.126, 0.913], [0.790, 0.579, 0.643], [0.815, 0.048, 0.580], [0.936, 0.147, 0.357], [0.968, 0.548, 0.233]], "formation_energy_uncorrected_ev_per_atom": -3.828, "sg": "Ibam", "m_tot_mub_per_fu": 0.0}